Here is an optimized crystal structure of BaMgSi4 from Alexandria via LeMat-Bulk. Energies are from PBE.

Unit cell a=5.628 b=5.628 c=5.628 alpha=60.00 beta=60.00 gamma=60.00
Positions (direct):
Ba: 0.000 0.000 0.000
Mg: 0.750 0.750 0.750
Si: 0.387 0.387 0.387
Si: 0.387 0.387 0.838
Si: 0.387 0.838 0.387
Si: 0.838 0.387 0.387

Results
DFT total energy ... -4.0845 eV per atom
Volume ... 21.01 Å³/atom
Density of states at the Fermi level ... 3.3 states/eV/cell
Crystal system ... cubic
Raw formation energy ... 117 meV per atom